A geometry-optimized K2BaTiCl8 structure. Source: Alexandria via LeMat-Bulk, functional PBE-GGA.

POSCAR file:
```
K2BaTiCl8
1.0
6.334 -0.184 -0.003
-0.138 7.207 -0.008
0.005 0.011 8.926
K Ba Ti Cl
2 1 1 8
Cartesian
3.101 3.519 6.790 K
3.100 3.515 2.125 K
0.003 0.006 4.463 Ba
0.000 0.000 0.000 Ti
0.762 5.795 1.694 Cl
4.260 5.740 8.917 Cl
5.434 1.231 1.696 Cl
5.439 1.238 7.221 Cl
1.941 1.293 -0.002 Cl
0.767 5.803 7.219 Cl
3.784 5.289 4.456 Cl
2.417 1.745 4.459 Cl
```

Results
For the total energy, the calculation gives -4.12 eV/atom. Its formation energy from raw total energies is -1.889 eV/atom. The crystal system is monoclinic. The space group is P2/m, No. 10.